The following is a GGA+U calculation of an optimized crystal structure of CoRe2F2, from Alexandria.

Crystal system ... tetragonal
Magnetic moment ... 0.0007 μB per atom
Energy ... -6.924 eV/atom

Geometry as POSCAR:
```
CoRe2F2
1.0
3.198 0.000 0.000
0.000 3.198 0.000
1.599 1.599 5.762
Re Co F
2 1 2
direct
0.397 0.397 0.205
0.603 0.603 0.795
0.000 0.000 0.000
0.750 0.250 0.500
0.250 0.750 0.500
```